Record 1
Entry from Alexandria via LeMat-Bulk: a geometry-optimized Na5Tl8Pb structure (PBE-GGA).

a = 8.346 Å, b = 8.346 Å, c = 8.346 Å
α = 114.26°, β = 100.28°, γ = 114.26°
Element x y z (fractional)
Na1 0.668 0.582 0.545
Na2 0.914 0.877 0.332
Na3 0.963 0.418 0.086
Na4 0.455 0.123 0.037
Na5 0.500 0.000 0.500
Pb1 0.250 0.500 0.750
Tl1 0.824 0.262 0.405
Tl2 0.143 0.738 0.562
Tl3 0.053 0.093 0.800
Tl4 0.438 0.581 0.176
Tl5 0.200 0.253 0.294
Tl6 0.040 0.747 0.947
Tl7 0.706 0.907 0.960
Tl8 0.595 0.419 0.857

* D(E_F): 0.57 states/eV/atom
* energy of formation: -0.038 eV/atom
* symmetry: I-4
* crystal system: tetragonal
* E: -29.8 eV per cell

Record 2
Entry from Alexandria via LeMat-Bulk: a geometry-optimized Tl2InSe structure (PBE-GGA).

a = 4.133 Å, b = 4.133 Å, c = 8.806 Å
α = 76.43°, β = 76.43°, γ = 60.00°
Element x y z (fractional)
Tl1 0.261 0.261 0.217
Tl2 0.072 0.072 0.784
Se1 0.667 0.667 0.999
In1 0.500 0.500 0.500

* D(E_F): 0.52 states/eV/atom
* ΔE to the lowest computed polymorph: 0.105 eV/atom
* symmetry: R3m
* formation energy from raw total energies: -0.123 eV/atom
* crystal system: trigonal
* E: -11.4 eV per cell

Record 3
Entry from Alexandria via LeMat-Bulk: a geometry-optimized Pr3AgOs structure (PBE-GGA).

a = 7.479 Å, b = 8.802 Å, c = 9.011 Å
α = 103.66°, β = 90.00°, γ = 90.00°
Element x y z (fractional)
Pr1 0.990 0.209 0.541
Pr2 0.853 0.418 0.242
Pr3 0.178 0.034 0.157
Pr4 0.822 0.966 0.843
Pr5 0.010 0.791 0.459
Pr6 0.490 0.291 0.459
Pr7 0.510 0.709 0.541
Pr8 0.353 0.082 0.758
Pr9 0.678 0.466 0.843
Pr10 0.322 0.534 0.157
Pr11 0.647 0.918 0.242
Pr12 0.147 0.582 0.758
Ag1 0.048 0.303 0.923
Ag2 0.952 0.697 0.077
Ag3 0.548 0.197 0.077
Ag4 0.452 0.803 0.923
Os1 0.818 0.519 0.573
Os2 0.682 0.019 0.573
Os3 0.318 0.981 0.427
Os4 0.182 0.481 0.427

* D(E_F): 0.91 states/eV/atom
* ΔE to the lowest computed polymorph: 0.000 eV/atom
* energy of formation: -0.096 eV/atom
* symmetry: P2_1/c
* crystal system: monoclinic
* E: -115.6 eV per cell

Record 4
Entry from Alexandria via LeMat-Bulk: a geometry-optimized Li2Pr4Te3N2 structure (PBE-GGA).

a = 4.959 Å, b = 4.959 Å, c = 12.319 Å
α = 101.61°, β = 101.61°, γ = 90.00°
Element x y z (fractional)
Pr1 0.595 0.095 0.189
Pr2 0.405 0.905 0.811
Pr3 0.905 0.405 0.811
Pr4 0.095 0.595 0.189
N1 0.393 0.393 0.786
N2 0.607 0.607 0.214
Te1 0.000 0.000 0.000
Te2 0.813 0.813 0.625
Te3 0.187 0.187 0.375
Li1 0.307 0.307 0.614
Li2 0.693 0.693 0.386

* D(E_F): 0.32 states/eV/atom
* symmetry: I4/mmm
* formation energy from raw total energies: -1.082 eV/atom
* crystal system: tetragonal
* E: -60.9 eV per cell

Record 5
Entry from Alexandria via LeMat-Bulk: a geometry-optimized HfThAs2 structure (PBE-GGA).

a = 4.053 Å, b = 4.053 Å, c = 6.952 Å
α = 73.05°, β = 73.05°, γ = 60.00°
Element x y z (fractional)
As1 0.741 0.741 0.778
As2 0.259 0.259 0.222
Hf1 0.000 0.000 0.000
Th1 0.500 0.500 0.500

* D(E_F): 0.55 states/eV/atom
* ΔE to the lowest computed polymorph: 0.000 eV/atom
* energy of formation: -1.162 eV/atom
* symmetry: R-3m
* crystal system: trigonal
* E: -31.3 eV per cell

Record 6
Entry from Alexandria via LeMat-Bulk: a geometry-optimized HfHgPb2W structure (PBE-GGA).

a = 5.435 Å, b = 5.407 Å, c = 5.435 Å
α = 90.00°, β = 90.00°, γ = 90.00°
Element x y z (fractional)
W1 0.500 0.500 0.500
Hg1 0.000 0.000 0.000
Pb1 0.500 0.000 0.000
Pb2 0.000 0.000 0.500
Hf1 0.000 0.500 0.000

* D(E_F): 1.22 states/eV/atom
* energy of formation: 1.902 eV/atom
* symmetry: P4/mmm
* crystal system: tetragonal
* E: -21.1 eV per cell

Record 7
Entry from Alexandria via LeMat-Bulk: a geometry-optimized LaTcPt structure (PBE-GGA).

a = 4.365 Å, b = 4.365 Å, c = 4.280 Å
α = 90.00°, β = 90.00°, γ = 120.00°
Element x y z (fractional)
Pt1 0.667 0.333 0.500
La1 0.000 0.000 0.000
Tc1 0.333 0.667 0.500

* D(E_F): 1.34 states/eV/atom
* ΔE to the lowest computed polymorph: 0.000 eV/atom
* energy of formation: -0.270 eV/atom
* symmetry: P-6m2
* crystal system: hexagonal
* E: -22.1 eV per cell

Record 8
Entry from Alexandria via LeMat-Bulk: a geometry-optimized LiAlGe2Se6 structure (PBE-GGA).

a = 6.942 Å, b = 9.437 Å, c = 9.437 Å
α = 84.86°, β = 71.13°, γ = 71.13°
Element x y z (fractional)
Se1 0.403 0.894 0.379
Se2 0.599 0.824 0.984
Se3 0.597 0.106 0.621
Se4 0.903 0.379 0.894
Se5 0.952 0.303 0.420
Se6 0.401 0.176 0.016
Se7 0.548 0.580 0.697
Se8 0.097 0.621 0.106
Se9 0.099 0.984 0.824
Se10 0.048 0.697 0.580
Se11 0.901 0.016 0.176
Se12 0.452 0.420 0.303
Al1 0.250 0.189 0.811
Al2 0.750 0.811 0.189
Ge1 0.700 0.203 0.370
Ge2 0.300 0.797 0.630
Ge3 0.200 0.370 0.203
Ge4 0.800 0.630 0.797
Li1 0.750 0.203 0.797
Li2 0.250 0.797 0.203

* symmetry: C2/c
* formation energy from raw total energies: -0.483 eV/atom
* crystal system: monoclinic
* E: -81.3 eV per cell

Record 9
Entry from Alexandria via LeMat-Bulk: a geometry-optimized TcNi2Ag structure (PBE-GGA).

a = 8.876 Å, b = 8.876 Å, c = 8.876 Å
α = 17.40°, β = 17.40°, γ = 17.40°
Element x y z (fractional)
Ni1 0.993 0.993 0.993
Ni2 0.252 0.252 0.252
Tc1 0.509 0.509 0.509
Ag1 0.746 0.746 0.746

* D(E_F): 1.51 states/eV/atom
* ΔE to the lowest computed polymorph: 0.182 eV/atom
* energy of formation: 0.291 eV/atom
* symmetry: R3m
* crystal system: trigonal
* E: -23.6 eV per cell

Record 10
Entry from Alexandria via LeMat-Bulk: a geometry-optimized TaAg2F structure (PBE-GGA).

a = 4.570 Å, b = 4.570 Å, c = 4.570 Å
α = 60.00°, β = 60.00°, γ = 60.00°
Element x y z (fractional)
Ag1 0.250 0.250 0.250
Ag2 0.750 0.750 0.750
F1 0.000 0.000 0.000
Ta1 0.500 0.500 0.500

* D(E_F): 0.88 states/eV/atom
* ΔE to the lowest computed polymorph: 0.230 eV/atom
* symmetry: Fm-3m
* formation energy from raw total energies: 0.427 eV/atom
* crystal system: cubic
* E: -17.7 eV per cell

Record 11
Entry from Alexandria via LeMat-Bulk: a geometry-optimized Ba2ZrTiZn structure (PBE-GGA).

a = 6.068 Å, b = 4.978 Å, c = 6.068 Å
α = 90.00°, β = 90.00°, γ = 90.00°
Element x y z (fractional)
Zn1 0.000 0.500 0.000
Ba1 0.500 0.000 0.000
Ba2 0.000 0.000 0.500
Ti1 0.000 0.000 0.000
Zr1 0.500 0.500 0.500

* D(E_F): 1.97 states/eV/atom
* energy of formation: 1.127 eV/atom
* symmetry: P4/mmm
* crystal system: tetragonal
* E: -15.9 eV per cell

Record 12
Entry from Alexandria via LeMat-Bulk: a geometry-optimized AcYZnIn structure (PBE-GGA).

a = 5.480 Å, b = 5.480 Å, c = 5.480 Å
α = 60.00°, β = 60.00°, γ = 60.00°
Element x y z (fractional)
Ac1 0.750 0.750 0.750
Y1 0.250 0.250 0.250
In1 0.500 0.500 0.500
Zn1 0.000 0.000 0.000

* D(E_F): 1.10 states/eV/atom
* energy of formation: -0.331 eV/atom
* symmetry: F-43m
* crystal system: cubic
* E: -15.9 eV per cell

Among the records above, which one has the highest E? Tl2InSe

Copy entry 7 word for word.
Entry from Alexandria via LeMat-Bulk: a geometry-optimized LaTcPt structure (PBE-GGA).

a = 4.365 Å, b = 4.365 Å, c = 4.280 Å
α = 90.00°, β = 90.00°, γ = 120.00°
Element x y z (fractional)
Pt1 0.667 0.333 0.500
La1 0.000 0.000 0.000
Tc1 0.333 0.667 0.500

* D(E_F): 1.34 states/eV/atom
* ΔE to the lowest computed polymorph: 0.000 eV/atom
* energy of formation: -0.270 eV/atom
* symmetry: P-6m2
* crystal system: hexagonal
* E: -22.1 eV per cell

Which formula does entry 7 have? LaTcPt

The highest E belongs to which entry? Tl2InSe